1.
# PBE-GGA Hf3Sc2Cd2, relaxed
# Spin magnetization, μB per cell: 0.00
# Raw total energy, eV/atom: -6.4045
# ΔH_f (0 K), eV/atom: -0.074
data_Hf3Sc2Cd2
_cell_length_a 4.9457
_cell_length_b 4.9457
_cell_length_c 21.9408
_cell_angle_alpha 90.00
_cell_angle_beta 90.00
_cell_angle_gamma 120.00
_space_group_name_H-M_alt 'R 3 m'
_space_group_IT_number 160
_space_group_name_Hall 'R 3 -2"'
loop_
_atom_site_label
_atom_site_type_symbol
_atom_site_fract_x
_atom_site_fract_y
_atom_site_fract_z
Hf1 Hf 0.0000 0.0000 0.0000
Hf2 Hf 0.0000 0.0000 0.2748
Hf3 Hf 0.0000 0.0000 0.6818
Sc1 Sc 0.0000 0.0000 0.4106
Sc2 Sc 0.0000 0.0000 0.8439
Cd1 Cd 0.0000 0.0000 0.1339
Cd2 Cd 0.0000 0.0000 0.5490


2.
# PBE-GGA CdGeAs2, relaxed
# Raw total energy, eV/atom: -3.8053
data_CdGeAs2
_cell_length_a 6.048
_cell_length_b 6.048
_cell_length_c 11.453
_cell_angle_alpha 90.00
_cell_angle_beta 90.00
_cell_angle_gamma 90.00
_space_group_name_H-M_alt 'I -4 2 d'
_space_group_IT_number 122
_space_group_name_Hall 'I -4 2bw'
loop_
_atom_site_label
_atom_site_type_symbol
_atom_site_fract_x
_atom_site_fract_y
_atom_site_fract_z
Cd1 Cd 0.000 0.000 0.000
Ge1 Ge 0.000 0.000 0.500
As1 As 0.222 0.250 0.625